# TbGa3Ni GGA-PBE optimized geometry
data_TbGa3Ni
_symmetry_space_group_name_H-M 'P 1'
_symmetry_Int_Tables_number 1
_cell_length_a 4.1038
_cell_length_b 4.1038
_cell_length_c 5.3028
_cell_angle_alpha 90.00
_cell_angle_beta 90.00
_cell_angle_gamma 90.00
loop_
_symmetry_equiv_pos_as_xyz
'x,y,z'
loop_
_atom_site_label
_atom_site_type_symbol
_atom_site_fract_x
_atom_site_fract_y
_atom_site_fract_z
Tb1 Tb 0.5000 0.5000 0.8572
Ni1 Ni 0.0000 0.0000 0.0920
Ga1 Ga 0.0000 0.0000 0.6527
Ga2 Ga 0.5000 0.0000 0.3309
Ga3 Ga 0.0000 0.5000 0.3309
# energy above the most stable polymorph in this dataset: 55 meV per atom
# ΔH_f (0 K): -2.66 eV/f.u.



# ZrCd2MoBr GGA-PBE optimized geometry
data_ZrCd2MoBr
_symmetry_space_group_name_H-M 'P 1'
_symmetry_Int_Tables_number 1
_cell_length_a 5.2697
_cell_length_b 4.6422
_cell_length_c 5.2697
_cell_angle_alpha 90.00
_cell_angle_beta 90.00
_cell_angle_gamma 90.00
loop_
_symmetry_equiv_pos_as_xyz
'x,y,z'
loop_
_atom_site_label
_atom_site_type_symbol
_atom_site_fract_x
_atom_site_fract_y
_atom_site_fract_z
Cd1 Cd 0.0000 0.0000 0.5000
Cd2 Cd 0.5000 0.0000 0.0000
Mo1 Mo 0.0000 0.5000 0.0000
Zr1 Zr 0.5000 0.5000 0.5000
Br1 Br 0.0000 0.0000 0.0000
# formation energy from raw total energies: 1275 meV/atom



# Tm3Te2C GGA-PBE optimized geometry
data_Tm3Te2C
_symmetry_space_group_name_H-M 'P 1'
_symmetry_Int_Tables_number 1
_cell_length_a 3.8059
_cell_length_b 5.7369
_cell_length_c 7.4154
_cell_angle_alpha 112.76
_cell_angle_beta 104.87
_cell_angle_gamma 90.00
loop_
_symmetry_equiv_pos_as_xyz
'x,y,z'
loop_
_atom_site_label
_atom_site_type_symbol
_atom_site_fract_x
_atom_site_fract_y
_atom_site_fract_z
Tm1 Tm 0.0000 0.0000 0.0000
Tm2 Tm 0.3809 0.3809 0.7618
Tm3 Tm 0.6191 0.6191 0.2382
Te1 Te 0.6799 0.1799 0.3597
Te2 Te 0.3201 0.8201 0.6403
C1 C 0.0000 0.5000 0.0000
# energy above the most stable polymorph in this dataset: 0 meV per atom
# formation energy from raw total energies: -940 meV/atom



# AcSmY6Ho2 GGA-PBE optimized geometry
data_AcSmY6Ho2
_symmetry_space_group_name_H-M 'P 1'
_symmetry_Int_Tables_number 1
_cell_length_a 9.5784
_cell_length_b 8.9500
_cell_length_c 8.9500
_cell_angle_alpha 117.32
_cell_angle_beta 92.72
_cell_angle_gamma 92.72
loop_
_symmetry_equiv_pos_as_xyz
'x,y,z'
loop_
_atom_site_label
_atom_site_type_symbol
_atom_site_fract_x
_atom_site_fract_y
_atom_site_fract_z
Ho1 Ho 0.0513 0.3110 0.1995
Ho2 Ho 0.5513 0.1995 0.3110
Ho3 Ho 0.9487 0.6890 0.8005
Ho4 Ho 0.4487 0.8005 0.6890
Y1 Y 0.6131 0.4872 0.7104
Y2 Y 0.6797 0.0138 0.5553
Y3 Y 0.8869 0.2896 0.5128
Y4 Y 0.8203 0.4447 0.9862
Y5 Y 0.3869 0.5128 0.2896
Y6 Y 0.3203 0.9862 0.4447
Y7 Y 0.4422 0.2464 0.8760
Y8 Y 0.5578 0.7536 0.1240
Y9 Y 0.1797 0.5553 0.0138
Y10 Y 0.1131 0.7104 0.4872
Y11 Y 0.9422 0.8760 0.2464
Y12 Y 0.0578 0.1240 0.7536
Sm1 Sm 0.2500 0.4123 0.5877
Sm2 Sm 0.7500 0.5877 0.4123
Ac1 Ac 0.7500 0.0320 0.9680
Ac2 Ac 0.2500 0.9680 0.0320
# ΔH_f (0 K): 1.28 eV/f.u.



# HoBrCl2 GGA-PBE optimized geometry
data_HoBrCl2
_symmetry_space_group_name_H-M 'P 1'
_symmetry_Int_Tables_number 1
_cell_length_a 6.9630
_cell_length_b 6.9630
_cell_length_c 7.5615
_cell_angle_alpha 108.60
_cell_angle_beta 108.60
_cell_angle_gamma 112.73
loop_
_symmetry_equiv_pos_as_xyz
'x,y,z'
loop_
_atom_site_label
_atom_site_type_symbol
_atom_site_fract_x
_atom_site_fract_y
_atom_site_fract_z
Ho1 Ho 0.1189 0.4371 0.4168
Ho2 Ho 0.4371 0.1189 0.9168
Cl1 Cl 0.2656 0.2638 0.1603
Cl2 Cl 0.0457 0.6799 0.7078
Cl3 Cl 0.2638 0.2656 0.6603
Cl4 Cl 0.6799 0.0457 0.2078
Br1 Br 0.8852 0.5515 0.1289
Br2 Br 0.5515 0.8852 0.6289
# energy above the most stable polymorph in this dataset: 0 meV per atom
# formation energy from raw total energies: -2128 meV/atom